DFT (GGA-PBE) results for a relaxed Tm2Sc2CCl5 crystal.

Geometry as POSCAR:
```
Tm2Sc2CCl5
1.0
8.277 -1.794 0.000
8.277 1.794 0.000
-1.785 0.000 7.428
Tm Sc C Cl
2 2 1 5
direct
0.001 0.001 0.291
0.999 0.999 0.709
0.362 0.362 0.423
0.638 0.638 0.577
0.500 0.500 0.500
0.164 0.164 0.827
0.170 0.170 0.353
0.500 0.500 0.000
0.830 0.830 0.647
0.836 0.836 0.173
```

Computed properties:
Final energy (eV per atom): -5.70

DFT (GGA-PBE) results for a relaxed ZrScCCl2 crystal.

Geometry as POSCAR:
```
ZrScCCl2
1.0
3.433 0.000 0.000
-1.716 2.973 0.000
0.000 0.000 9.308
Zr Sc C Cl
1 1 1 2
direct
0.000 0.000 0.000
0.333 0.667 0.735
0.667 0.333 0.872
0.000 0.000 0.554
0.333 0.667 0.193
```

Computed properties:
Final energy (eV per atom): -7.06

DFT (GGA-PBE) results for a relaxed Sm2Y2CCl5 crystal.

Geometry as POSCAR:
```
Sm2Y2CCl5
1.0
8.637 -1.876 0.000
8.637 1.876 0.000
-1.946 0.000 7.585
Sm Y C Cl
2 2 1 5
direct
0.147 0.147 0.085
0.853 0.853 0.915
0.499 0.499 0.211
0.501 0.501 0.789
0.000 0.000 0.000
0.000 0.000 0.500
0.332 0.332 0.171
0.339 0.339 0.647
0.661 0.661 0.353
0.668 0.668 0.829
```

Computed properties:
Final energy (eV per atom): -5.78

DFT (GGA-PBE) results for a relaxed Sm2Y2CCl5 crystal.

Geometry as POSCAR:
```
Sm2Y2CCl5
1.0
8.597 -1.899 0.000
8.597 1.899 0.000
-1.892 0.000 7.762
Sm Y C Cl
2 2 1 5
direct
0.002 0.002 0.287
0.998 0.998 0.713
0.356 0.356 0.419
0.644 0.644 0.581
0.500 0.500 0.500
0.166 0.166 0.831
0.174 0.174 0.352
0.500 0.500 0.000
0.826 0.826 0.648
0.834 0.834 0.169
```

Computed properties:
Final energy (eV per atom): -5.79